No. 1
Entry from Alexandria: SrCaMo2 at its PBEsol-relaxed geometry (SCAN).

```
SrCaMo2
1.0
3.998 0.000 0.000
0.000 3.998 0.000
0.000 0.000 6.665
Sr Ca Mo
1 1 2
Direct
0.000 0.000 0.000
0.000 0.000 0.500
0.500 0.500 0.341
0.500 0.500 0.659
```

Summary:
Its total energy is -0.89653 Ha/atom. The calculation puts the total moment at 0.20 μB/atom. Its relative energy among the computed polymorphs is 0.55 eV/f.u. For the density of states at the Fermi level, the calculation gives 1.25 states/eV/atom.

=====

No. 2
Entry from Alexandria: HfSnIrPt2 at its PBEsol-relaxed geometry (SCAN).

```
HfSnIrPt2
1.0
4.897 0.000 0.000
0.000 4.897 0.000
0.000 0.000 4.801
Hf Sn Ir Pt
1 1 1 2
Direct
0.000 0.000 0.000
0.500 0.500 0.500
0.000 0.000 0.500
0.000 0.500 0.000
0.500 0.000 0.000
```

Summary:
Its total energy is -2.24993 Ha/atom. The calculation puts the total moment at 0.00 μB/atom. For the density of states at the Fermi level, the calculation gives 0.80 states/eV/atom.

=====

No. 3
Entry from Alexandria: TlNiW2 at its PBEsol-relaxed geometry (SCAN).

```
TlNiW2
1.0
3.222 0.000 0.000
0.000 3.222 0.000
0.000 0.000 6.189
Tl Ni W
1 1 2
Direct
0.000 0.000 0.000
0.500 0.500 0.757
0.000 0.000 0.526
0.500 0.500 0.314
```

Summary:
Its total energy is -2.07336 Ha/atom. The calculation puts the total moment at 0.00 μB/atom. Its relative energy among the computed polymorphs is 0.00 eV/f.u. For the density of states at the Fermi level, the calculation gives 0.82 states/eV/atom.

=====

No. 4
Entry from Alexandria: FeTe2NO at its PBEsol-relaxed geometry (SCAN).

```
FeTe2NO
1.0
4.997 0.000 0.000
0.000 4.997 0.000
0.000 0.000 3.290
Fe Te N O
1 2 1 1
Direct
0.000 0.000 0.000
0.000 0.500 0.000
0.500 0.000 0.000
0.000 0.000 0.500
0.500 0.500 0.500
```

Summary:
Its total energy is -0.77556 Ha/atom. The calculation puts the total moment at 0.00 μB/atom. For the formation energy without anion corrections, the calculation gives 0.53 eV per atom. For the density of states at the Fermi level, the calculation gives 0.62 states/eV/atom.

=====

No. 5
Entry from Alexandria: Be3PtBr at its PBEsol-relaxed geometry (SCAN).

```
Be3PtBr
1.0
4.380 0.000 0.000
0.000 4.380 0.000
0.000 0.000 4.380
Be Pt Br
3 1 1
Direct
0.000 0.000 0.500
0.000 0.500 0.000
0.500 0.000 0.000
0.000 0.000 0.000
0.500 0.500 0.500
```

Summary:
Its total energy is -0.74769 Ha/atom. The calculation puts the total moment at 0.00 μB/atom. For the formation energy without anion corrections, the calculation gives 0.20 eV per atom. For the density of states at the Fermi level, the calculation gives 0.38 states/eV/atom.

=====

No. 6
Entry from Alexandria: KRe3Ag at its PBEsol-relaxed geometry (SCAN).

```
KRe3Ag
1.0
4.836 0.000 0.000
0.000 4.836 0.000
0.000 0.000 4.836
K Re Ag
1 3 1
Direct
0.000 0.000 0.000
0.000 0.500 0.500
0.500 0.000 0.500
0.500 0.500 0.000
0.500 0.500 0.500
```

Summary:
Its total energy is -1.74103 Ha/atom. The calculation puts the total moment at 1.21 μB/atom. For the density of states at the Fermi level, the calculation gives 1.23 states/eV/atom.

=====

No. 7
Entry from Alexandria: YCo2Sb at its PBEsol-relaxed geometry (SCAN).

```
YCo2Sb
1.0
6.496 0.000 0.000
0.000 6.496 0.000
0.000 0.000 6.496
Y Co Sb
4 8 4
Direct
0.000 0.000 0.000
0.000 0.500 0.500
0.500 0.000 0.500
0.500 0.500 0.000
0.000 0.000 0.500
0.000 0.500 0.000
0.250 0.250 0.750
0.250 0.750 0.250
0.500 0.000 0.000
0.500 0.500 0.500
0.750 0.250 0.250
0.750 0.750 0.750
0.250 0.250 0.250
0.250 0.750 0.750
0.750 0.250 0.750
0.750 0.750 0.250
```

Summary:
Its total energy is -0.91416 Ha/atom. The calculation puts the total moment at 0.80 μB/atom. For the formation energy without anion corrections, the calculation gives 0.05 eV per atom. For the density of states at the Fermi level, the calculation gives 1.02 states/eV/atom.

=====

No. 8
Entry from Alexandria: ZrTe2W at its PBEsol-relaxed geometry (SCAN).

```
ZrTe2W
1.0
3.483 0.000 0.000
0.000 4.140 0.000
0.000 0.000 11.845
Zr Te W
2 4 2
Direct
0.000 0.000 0.000
0.500 0.500 0.500
0.000 0.000 0.407
0.000 0.500 0.171
0.500 0.000 0.671
0.500 0.500 0.907
0.000 0.500 0.726
0.500 0.000 0.226
```

Summary:
Its total energy is -1.60530 Ha/atom. The calculation puts the total moment at 0.00 μB/atom. Its relative energy among the computed polymorphs is 0.00 eV/f.u. For the formation energy without anion corrections, the calculation gives 0.04 eV per atom. For the density of states at the Fermi level, the calculation gives 0.61 states/eV/atom.

=====

No. 9
Entry from Alexandria: InCo2Ru at its PBEsol-relaxed geometry (SCAN).

```
InCo2Ru
1.0
2.732 0.000 0.000
-1.366 2.366 0.000
0.000 0.000 24.971
In Co Ru
3 6 3
Direct
0.000 0.000 0.000
0.333 0.667 0.667
0.667 0.333 0.333
0.000 0.000 0.245
0.000 0.000 0.755
0.333 0.667 0.422
0.333 0.667 0.912
0.667 0.333 0.088
0.667 0.333 0.578
0.000 0.000 0.500
0.333 0.667 0.167
0.667 0.333 0.833
```

Summary:
Its total energy is -0.92789 Ha/atom. The calculation puts the total moment at 1.04 μB/atom. For the density of states at the Fermi level, the calculation gives 0.67 states/eV/atom.

=====

No. 10
Entry from Alexandria: HfCrCuS4 at its PBEsol-relaxed geometry (SCAN).

```
HfCrCuS4
1.0
-3.545 3.557 4.951
3.545 -3.557 4.951
3.545 3.557 -4.951
Hf Cr Cu S
2 2 2 8
Direct
0.500 0.000 0.000
0.500 0.500 0.500
0.000 0.000 0.000
0.500 0.000 0.500
0.130 0.380 0.750
0.870 0.620 0.250
0.243 0.242 0.001
0.247 0.225 0.478
0.247 0.768 0.022
0.258 0.758 0.501
0.742 0.242 0.499
0.753 0.232 0.978
0.753 0.775 0.522
0.757 0.758 0.999
```

Summary:
Its total energy is -0.75372 Ha/atom. The calculation puts the total moment at 0.43 μB/atom. For the formation energy without anion corrections, the calculation gives -1.26 eV per atom. For the density of states at the Fermi level, the calculation gives 0.05 states/eV/atom.

=====

No. 11
Entry from Alexandria: SrSc at its PBEsol-relaxed geometry (SCAN).

```
SrSc
1.0
3.823 0.000 0.000
0.000 3.823 0.000
0.000 0.000 9.540
Sr Sc
2 2
Direct
0.250 0.250 0.169
0.750 0.750 0.831
0.250 0.250 0.579
0.750 0.750 0.421
```

Summary:
Its total energy is -0.66266 Ha/atom. The calculation puts the total moment at 0.13 μB/atom. Its relative energy among the computed polymorphs is 0.00 eV/f.u. For the density of states at the Fermi level, the calculation gives 1.31 states/eV/atom.

=====

No. 12
Entry from Alexandria: ZnHgBi2 at its PBEsol-relaxed geometry (SCAN).

```
ZnHgBi2
1.0
4.572 0.000 0.000
0.000 4.572 0.000
0.000 0.000 20.967
Zn Hg Bi
4 4 8
Direct
0.000 0.000 0.000
0.000 0.500 0.250
0.500 0.000 0.750
0.500 0.500 0.500
0.000 0.000 0.500
0.000 0.500 0.750
0.500 0.000 0.250
0.500 0.500 0.000
0.232 0.250 0.125
0.250 0.732 0.375
0.250 0.768 0.875
0.268 0.250 0.625
0.732 0.750 0.625
0.750 0.232 0.875
0.750 0.268 0.375
0.768 0.750 0.125
```

Summary:
Its total energy is -2.18633 Ha/atom. The calculation puts the total moment at 0.00 μB/atom. For the density of states at the Fermi level, the calculation gives 0.39 states/eV/atom.

=====

No. 13
Entry from Alexandria: Ca3Os at its PBEsol-relaxed geometry (SCAN).

```
Ca3Os
1.0
5.070 0.000 0.000
0.000 5.070 0.000
0.000 0.000 7.426
Ca Os
6 2
Direct
0.000 0.000 0.000
0.000 0.500 0.250
0.000 0.500 0.750
0.500 0.000 0.250
0.500 0.000 0.750
0.500 0.500 0.500
0.000 0.000 0.500
0.500 0.500 0.000
```

Summary:
Its total energy is -0.91126 Ha/atom. The calculation puts the total moment at 0.00 μB/atom. For the density of states at the Fermi level, the calculation gives 0.20 states/eV/atom.